This record from Alexandria via LeMat-Bulk describes an optimized crystal structure of Er4BiAuSe2. The functional is PBE-GGA.

Summary:
The formation energy without anion corrections is -117.3 kJ/mol of atoms.

Unit cell a=7.0535 b=4.0921 c=7.5451 alpha=90.00 beta=108.21 gamma=90.00
Fractional coordinates of all 8 atoms:
Er 0.2334 0.0000 0.2346
Er 0.2374 0.5000 0.7562
Er 0.7626 0.5000 0.2438
Er 0.7666 0.0000 0.7654
Bi 0.5000 0.5000 0.5000
Au 0.0000 0.0000 0.5000
Se 0.0000 0.5000 0.0000
Se 0.5000 0.0000 0.0000

This record from Alexandria via LeMat-Bulk describes an optimized crystal structure of EuBiAu2. The functional is PBE-GGA.

Summary:
The calculation puts the formation enthalpy at 0 K at -0.5560 eV per atom. The value obtained for the energy above the most stable polymorph in this dataset is 0 meV per atom.

Unit cell a=5.1800 b=5.1800 c=5.1800 alpha=60.00 beta=60.00 gamma=60.00
Fractional coordinates of all 4 atoms:
Eu 0.0000 0.0000 0.0000
Bi 0.5000 0.5000 0.5000
Au 0.2500 0.2500 0.2500
Au 0.7500 0.7500 0.7500

We obtain ρ values of 9896, 12754 kg/m³ for the records listed above, in that order.